Computed, not measured: a PBEsol-optimized structure of CrCuTe2N at the SCAN level of DFT.

Results
Energy relative to the elements, uncorrected, eV/atom: 0.306
Spin magnetization, μB/f.u.: 1.27
Fermi-level density of states, states/eV per cell: 2.75
V, Å³/f.u.: 93
Energy, eV per formula unit: -115.85

Cell lengths 5.180, 5.180, 3.459 Å; angles 90.00, 90.00, 90.00 degrees
Space group P4/mmm (No. 123)
Symmetry-distinct sites (fractional):
Cr: 0.000 0.000 0.000 [1 per cell]
Cu: 0.500 0.500 0.500 [1 per cell]
Te: 0.000 0.500 0.000 [2 per cell]
N: 0.000 0.000 0.500 [1 per cell]



Computed, not measured: a PBEsol-optimized structure of TaCoRe2 at the SCAN level of DFT.

Results
ΔE to the lowest computed polymorph, eV/f.u.: 0.40
Spin magnetization, μB/f.u.: 2.80
Fermi-level density of states, states/eV per cell: 14.08
V, Å³/f.u.: 58
Energy, eV per formula unit: -225.78
Formation energy, eV per atom: 0.076

Cell lengths 6.130, 6.130, 6.130 Å; angles 90.00, 90.00, 90.00 degrees
Space group Fm-3m (No. 225)
Symmetry-distinct sites (fractional):
Ta: 0.000 0.000 0.000 [4 per cell]
Co: 0.000 0.000 0.500 [4 per cell]
Re: 0.250 0.250 0.250 [8 per cell]



Computed, not measured: a PBEsol-optimized structure of OsAuSe4 at the SCAN level of DFT.

Results
Energy relative to the elements, uncorrected, eV/atom: 1.559
Spin magnetization, μB/f.u.: 2.53
Fermi-level density of states, states/eV per cell: 17.00
V, Å³/f.u.: 113
Energy, eV per formula unit: -212.00

Cell lengths 7.674, 7.674, 7.674 Å; angles 90.00, 90.00, 90.00 degrees
Space group F-43m (No. 216)
Symmetry-distinct sites (fractional):
Os: 0.000 0.000 0.000 [4 per cell]
Au: 0.250 0.250 0.750 [4 per cell]
Se: 0.125 0.125 0.375 [16 per cell]